[1]
The following is a GGA-PBE calculation of LiCaLaCd2 after structural relaxation, from Alexandria.

## Properties
For the total energy, the calculation gives -7.26 eV per cell. The space-group type is P4/mmm, No. 123.

Unit cell a=6.0028 b=6.0028 c=6.3915 alpha=90.00 beta=90.00 gamma=90.00
With the nearest neighbours (Å) after each atom.
Fractional positions:
1 Li 0.0000 0.0000 0.0000  4 Ca 4.24, 8 Cd 4.38
2 Ca 0.5000 0.5000 0.0000  2 La 3.20
3 La 0.5000 0.5000 0.5000  4 Cd 3.00, 2 Ca 3.20
4 Cd 0.0000 0.5000 0.5000  2 La 3.00
5 Cd 0.5000 0.0000 0.5000  2 La 3.00

=====

[2]
The following is a GGA-PBE calculation of Li2CaLaCd2 after structural relaxation, from Alexandria.

## Properties
For the total energy, the calculation gives -13.74 eV per cell. The space-group type is P-3m1, No. 164.

Unit cell a=5.0440 b=5.0440 c=7.1549 alpha=90.00 beta=90.00 gamma=120.00
With the nearest neighbours (Å) after each atom.
Fractional positions:
1 Li 0.3333 0.6667 0.2354  3 Cd 2.92
2 Li 0.6667 0.3333 0.7647  3 Cd 2.92
3 Ca 0.0000 0.0000 0.0000  6 Li 3.36, 6 Cd 3.43, 2 La 3.58
4 La 0.0000 0.0000 0.5000  6 Cd 3.40, 6 Li 3.47, 2 Ca 3.58
5 Cd 0.3333 0.6667 0.7463  3 Li 2.92
6 Cd 0.6667 0.3333 0.2537  3 Li 2.92

=====

[3]
The following is a GGA-PBE calculation of LiCaLaCd after structural relaxation, from Alexandria.

## Properties
For the total energy, the calculation gives -10.47 eV per cell. The space-group type is F-43m, No. 216.

Unit cell a=5.4968 b=5.4968 c=5.4968 alpha=60.00 beta=60.00 gamma=60.00
With the nearest neighbours (Å) after each atom.
Fractional positions:
1 Li 0.0000 0.0000 0.0000  4 La 3.37, 4 Ca 3.37
2 Ca 0.7500 0.7500 0.7500  4 Cd 3.37, 4 Li 3.37
3 La 0.2500 0.2500 0.2500  4 Cd 3.37, 4 Li 3.37
4 Cd 0.5000 0.5000 0.5000  4 La 3.37, 4 Ca 3.37

=====

[4]
The following is a GGA-PBE calculation of Ca2LaMgCd after structural relaxation, from Alexandria.

## Properties
For the total energy, the calculation gives -10.35 eV per cell. The space-group type is P4/mmm, No. 123.

Unit cell a=5.8854 b=5.8854 c=5.9684 alpha=90.00 beta=90.00 gamma=90.00
With the nearest neighbours (Å) after each atom.
Fractional positions:
1 Ca 0.0000 0.5000 0.0000  2 Cd 2.94
2 Ca 0.5000 0.0000 0.0000  2 Cd 2.94
3 La 0.0000 0.0000 0.5000  2 Cd 2.98
4 Mg 0.5000 0.5000 0.5000  4 La 4.16, 8 Ca 4.19
5 Cd 0.0000 0.0000 0.0000  4 Ca 2.94, 2 La 2.98

=====

no.,ΔH_f (0 K) (eV per atom),total magnetization (Bohr magnetons per cell)
1,0.683,0.00
2,-0.193,0.00
3,-0.178,0.00
4,0.218,0.92